Crystalline Si2WSe at its relaxed geometry, computed with PBE.

a b c (Å): 4.8739 5.1845 6.3098
angles (deg): 66.31 73.30 73.59
Fractional positions:
Si  0.2011  0.3642  0.3720
Si  0.2840  0.6151  0.8796
Si  0.7160  0.3849  0.1204
Si  0.7989  0.6358  0.6280
W  0.1552  0.1956  0.8241
W  0.8448  0.8044  0.1759
Se  0.2689  0.9571  0.2464
Se  0.7311  0.0429  0.7536

Values from the calculation:
ΔE_f (raw), eV per formula unit: 0.39

***

Crystalline InRhPb2Se at its relaxed geometry, computed with PBE.

a b c (Å): 5.2508 5.2508 5.1335
angles (deg): 90.00 90.00 90.00
Fractional positions:
In  0.0000  0.0000  0.0000
Rh  0.0000  0.0000  0.5000
Pb  0.0000  0.5000  0.5000
Pb  0.5000  0.0000  0.5000
Se  0.5000  0.5000  0.0000

Values from the calculation:
ΔE_f (raw), eV per formula unit: -0.78

***

Crystalline Ba3SrS4 at its relaxed geometry, computed with PBE.

a b c (Å): 7.7961 7.7961 4.4986
angles (deg): 90.00 90.00 109.44
Fractional positions:
Ba  0.0000  0.0000  0.0000
Ba  0.0000  0.5000  0.5000
Ba  0.5000  0.0000  0.5000
Sr  0.5000  0.5000  0.0000
S  0.2550  0.7450  0.0000
S  0.2592  0.2592  0.5000
S  0.7408  0.7408  0.5000
S  0.7450  0.2550  0.0000

Values from the calculation:
ΔE_f (raw), eV per formula unit: -16.67

***

Crystalline Sr2CaTl6Ag at its relaxed geometry, computed with PBE.

a b c (Å): 8.0341 8.0341 8.0341
angles (deg): 60.00 60.00 60.00
Fractional positions:
Sr  0.2500  0.2500  0.2500
Sr  0.7500  0.7500  0.7500
Ca  0.0000  0.0000  0.0000
Tl  0.2593  0.2593  0.7407
Tl  0.2593  0.7407  0.2593
Tl  0.2593  0.7407  0.7407
Tl  0.7407  0.2593  0.2593
Tl  0.7407  0.2593  0.7407
Tl  0.7407  0.7407  0.2593
Ag  0.5000  0.5000  0.5000

Values from the calculation:
Electronic total energy, eV per atom: -2.258

***

Crystalline BaNiAs at its relaxed geometry, computed with PBE.

a b c (Å): 6.2562 6.2562 6.2562
angles (deg): 147.79 147.79 46.19
Fractional positions:
Ba  0.0000  0.0000  0.0000
Ni  0.2778  0.2778  0.0000
As  0.7216  0.7216  0.0000

Values from the calculation:
Electronic total energy, eV per atom: -4.324

***

Crystalline Ge2OsRh at its relaxed geometry, computed with PBE.

a b c (Å): 6.8341 6.8341 6.8341
angles (deg): 132.80 132.80 68.96
Fractional positions:
Ge  0.1217  0.6250  0.9967
Ge  0.3750  0.3717  0.4967
Ge  0.6283  0.1250  0.0033
Ge  0.8750  0.8783  0.5033
Os  0.0000  0.0000  0.0000
Os  0.7500  0.2500  0.5000
Rh  0.2500  0.7500  0.5000
Rh  0.5000  0.5000  0.0000

Values from the calculation:
Distance to the lowest polymorph of the same formula, kJ/mol of formula units: 183

***

Crystalline Cu2IBrO at its relaxed geometry, computed with PBE.

a b c (Å): 5.0247 5.0247 4.0313
angles (deg): 90.00 90.00 90.00
Fractional positions:
Cu  0.0000  0.5000  0.0000
Cu  0.5000  0.0000  0.0000
I  0.0000  0.0000  0.0000
Br  0.5000  0.5000  0.5000
O  0.0000  0.0000  0.5000

Values from the calculation:
ΔE_f (raw), eV per formula unit: 1.64

***

Crystalline TcBS2Cl at its relaxed geometry, computed with PBE.

a b c (Å): 4.5385 4.5385 5.0947
angles (deg): 90.00 90.00 90.00
Fractional positions:
Tc  0.0000  0.0000  0.0000
B  0.5000  0.5000  0.5000
S  0.0000  0.5000  0.0000
S  0.5000  0.0000  0.0000
Cl  0.0000  0.0000  0.5000

Values from the calculation:
ΔE_f (raw), eV per formula unit: 4.65
Distance to the lowest polymorph of the same formula, kJ/mol of formula units: 177

***

Crystalline Zr2BiPd at its relaxed geometry, computed with PBE.

a b c (Å): 3.7426 3.7426 6.1690
angles (deg): 90.00 90.00 90.00
Fractional positions:
Zr  0.0000  0.0000  0.2373
Zr  0.0000  0.0000  0.7627
Bi  0.5000  0.5000  0.5000
Pd  0.5000  0.5000  0.0000

Values from the calculation:
Electronic total energy, eV per atom: -6.875

***

Crystalline YSiMo2 at its relaxed geometry, computed with PBE.

a b c (Å): 3.3914 3.3914 6.3949
angles (deg): 90.00 90.00 90.00
Fractional positions:
Y  0.0000  0.0000  0.0000
Si  0.0000  0.0000  0.5000
Mo  0.5000  0.5000  0.3159
Mo  0.5000  0.5000  0.6841

Values from the calculation:
ΔE_f (raw), eV per formula unit: -0.30

***

Crystalline ZrGaTe6 at its relaxed geometry, computed with PBE.

a b c (Å): 6.8555 6.9060 6.9117
angles (deg): 63.92 64.73 86.33
Fractional positions:
Zr  0.0000  0.0000  0.0000
Ga  0.5000  0.5000  0.0000
Te  0.1727  0.4444  0.8426
Te  0.3068  0.1017  0.5134
Te  0.3176  0.8212  0.1756
Te  0.6824  0.1788  0.8244
Te  0.6932  0.8983  0.4866
Te  0.8273  0.5556  0.1574

Values from the calculation:
ΔE_f (raw), eV per formula unit: -1.78

***

Crystalline Li2NiAsH at its relaxed geometry, computed with PBE.

a b c (Å): 3.7500 3.7500 3.7084
angles (deg): 90.00 90.00 90.00
Fractional positions:
Li  0.0000  0.5000  0.0000
Li  0.5000  0.0000  0.0000
Ni  0.0000  0.0000  0.5000
As  0.5000  0.5000  0.5000
H  0.0000  0.0000  0.0000

Values from the calculation:
Electronic total energy, eV per atom: -3.904